## Tm2InGaFe4 (PBE)

Data for a relaxed Tm2InGaFe4 crystal.

POSCAR file:
```
Tm2InGaFe4
1.0
3.965 0.000 0.000
0.000 4.953 0.000
0.000 0.000 6.953
Fe In Tm Ga
4 1 2 1
Direct
0.000 0.249 0.505 Fe
0.000 0.751 0.505 Fe
0.500 0.000 0.596 Fe
0.500 0.500 0.416 Fe
0.000 0.500 0.149 In
0.500 0.500 0.800 Tm
0.500 0.000 0.195 Tm
0.000 0.000 0.835 Ga
```

Values from the calculation:
Its volume is 136.5 Å³/f.u. Its symmetry is Pmm2.

## PrAgO3 (PBE)

Data for a relaxed PrAgO3 crystal.

POSCAR file:
```
PrAgO3
1.0
4.041 0.000 0.000
0.000 4.041 0.000
0.000 0.000 4.241
O Ag Pr
3 1 1
Direct
0.500 0.500 0.076 O
0.000 0.500 0.635 O
0.500 0.000 0.635 O
0.500 0.500 0.572 Ag
0.000 0.000 0.983 Pr
```

Values from the calculation:
Its volume is 69.3 Å³/f.u. Its symmetry is P4mm.

## Zr2Sb (PBE)

Data for a relaxed Zr2Sb crystal.

POSCAR file:
```
Zr2Sb
1.0
5.227 0.000 0.000
0.000 9.722 0.000
0.000 0.000 5.395
Sb Zr
4 8
Direct
0.827 0.162 0.500 Sb
0.827 0.505 0.500 Sb
0.006 0.005 0.000 Sb
0.006 0.662 0.000 Sb
0.507 0.510 0.000 Zr
0.327 0.010 0.500 Zr
0.478 0.833 0.000 Zr
0.837 0.833 0.500 Zr
0.327 0.657 0.500 Zr
0.355 0.333 0.500 Zr
0.997 0.333 0.000 Zr
0.507 0.157 0.000 Zr
```

Values from the calculation:
Its volume is 68.5 Å³/f.u. Its symmetry is Pmmn.

Number 1: energy -6.27 eV/atom. Number 2: energy -5.91 eV/atom. Number 3: energy -7.43 eV/atom.